# SrLi3Ge3

A geometry-optimized SrLi3Ge3 structure (PBE, Alexandria). Values from VASP.

* ΔE_f: 92.6 meV per atom

Geometry as Quantum ESPRESSO input:
```
&SYSTEM
  ibrav = 0, nat = 14, ntyp = 3
/
ATOMIC_SPECIES
Li 6.94 Li.upf
Ge 72.64 Ge.upf
Sr 87.62 Sr.upf
CELL_PARAMETERS angstrom
-5.183 4.391 -1.212
0.963 -0.738 -6.792
-4.452 -5.271 -0.058
ATOMIC_POSITIONS crystal
Li 0.750 0.500 0.000
Li 0.000 0.250 0.500
Ge 0.500 0.750 0.000
Ge 0.000 0.500 0.750
Sr 0.000 0.000 0.000
Ge 0.500 0.250 0.000
Ge 0.750 0.000 0.500
Li 0.500 0.000 0.250
Sr 0.500 0.500 0.500
Li 0.500 0.000 0.750
Li 0.000 0.750 0.500
Ge 0.250 0.000 0.500
Ge 0.000 0.500 0.250
Li 0.250 0.500 0.000
```